Here is crystalline Al2InRh at its relaxed geometry from the Alexandria database. Energies are from PBE.

```
data_Al2InRh
_space_group_name_H-M_alt 'P 4/m m m'
_space_group_IT_number 123
_space_group_name_Hall '-P 4 2'
_cell_length_a 2.946
_cell_length_b 2.946
_cell_length_c 8.095
_cell_angle_alpha 90.00
_cell_angle_beta 90.00
_cell_angle_gamma 90.00
loop_
_atom_site_label
_atom_site_type_symbol
_atom_site_fract_x
_atom_site_fract_y
_atom_site_fract_z
Al1 Al 0.000 0.000 0.193
In1 In 0.500 0.500 0.500
Rh1 Rh 0.500 0.500 0.000
```

Properties
energy of formation from the pure elements	-0.41	eV/atom
calculated density	6.4	Mg/m³
DOS at the Fermi energy	1.34	states/eV/f.u.